This record from the Alexandria database describes a geometry-optimized LaZnSb2 structure. The functional is PBE.

Unit cell a=6.168 b=6.168 c=6.168 alpha=137.37 beta=137.37 gamma=61.87
Sites, in units of the cell vectors:
La 0.000 0.000 0.000
Zn 0.750 0.250 0.500
Sb 0.250 0.750 0.500
Sb 0.500 0.500 0.000

## Properties
E_form (uncorrected) = -0.487 eV per atom
DFT total energy = -4.098 eV per atom
SG = I-4m2, No. 119

This record from the Alexandria database describes a geometry-optimized LaZnSb2 structure. The functional is PBE.

Unit cell a=3.634 b=4.941 c=6.646 alpha=90.00 beta=105.73 gamma=90.00
Sites, in units of the cell vectors:
La 0.000 0.000 0.000
Zn 0.370 0.500 0.741
Sb 0.273 0.000 0.547
Sb 0.586 0.500 0.174

## Properties
E_form (uncorrected) = -0.447 eV per atom
DFT total energy = -4.058 eV per atom
SG = Pm, No. 6

This record from the Alexandria database describes a geometry-optimized La2ZnSb structure. The functional is PBE.

Unit cell a=4.556 b=4.556 c=6.441 alpha=90.00 beta=90.00 gamma=90.00
Sites, in units of the cell vectors:
La 0.000 0.000 0.000
La 0.500 0.500 0.499
Zn 0.500 0.500 0.998
Sb 0.000 0.000 0.500

## Properties
E_form (uncorrected) = -0.587 eV per atom
DFT total energy = -4.400 eV per atom
SG = P4mm, No. 99
Polymorph energy (0 for the lowest one) = 0.58 eV/f.u.

This record from the Alexandria database describes a geometry-optimized LaZn2Sb structure. The functional is PBE.

Unit cell a=3.777 b=3.777 c=6.953 alpha=90.00 beta=90.00 gamma=99.64
Sites, in units of the cell vectors:
La 0.000 0.000 0.000
Zn 0.000 0.000 0.525
Zn 0.500 0.500 0.698
Sb 0.500 0.500 0.291

## Properties
E_form (uncorrected) = -0.296 eV per atom
DFT total energy = -3.195 eV per atom
SG = Cmm2, No. 35

This record from the Alexandria database describes a geometry-optimized LaZn2Sb2 structure. The functional is PBE.

Unit cell a=7.856 b=7.856 c=3.850 alpha=90.00 beta=90.00 gamma=90.00
Sites, in units of the cell vectors:
La 0.000 0.000 0.000
La 0.500 0.500 0.000
Zn 0.114 0.386 0.000
Zn 0.386 0.886 0.000
Zn 0.614 0.114 0.000
Zn 0.886 0.614 0.000
Sb 0.179 0.679 0.500
Sb 0.321 0.179 0.500
Sb 0.679 0.821 0.500
Sb 0.821 0.321 0.500

## Properties
E_form (uncorrected) = -0.395 eV per atom
DFT total energy = -3.539 eV per atom
SG = P4/mbm, No. 127

This record from the Alexandria database describes a geometry-optimized La4ZnSb structure. The functional is PBE.

Unit cell a=10.350 b=10.350 c=10.350 alpha=60.00 beta=60.00 gamma=60.00
Sites, in units of the cell vectors:
La 0.190 0.190 0.810
La 0.190 0.810 0.190
La 0.190 0.810 0.810
La 0.379 0.379 0.379
La 0.379 0.379 0.862
La 0.379 0.862 0.379
La 0.558 0.558 0.942
La 0.558 0.942 0.558
La 0.558 0.942 0.942
La 0.810 0.190 0.190
La 0.810 0.190 0.810
La 0.810 0.810 0.190
La 0.862 0.379 0.379
La 0.942 0.558 0.558
La 0.942 0.558 0.942
La 0.942 0.942 0.558
Zn 0.214 0.595 0.595
Zn 0.595 0.214 0.595
Zn 0.595 0.595 0.214
Zn 0.595 0.595 0.595
Sb 0.154 0.154 0.154
Sb 0.154 0.154 0.539
Sb 0.154 0.539 0.154
Sb 0.539 0.154 0.154

## Properties
E_form (uncorrected) = -0.458 eV per atom
DFT total energy = -4.642 eV per atom
SG = F-43m, No. 216
Polymorph energy (0 for the lowest one) = 0.00 eV/f.u.

This record from the Alexandria database describes a geometry-optimized La4Zn2Sb structure. The functional is PBE.

Unit cell a=9.246 b=9.246 c=9.246 alpha=33.31 beta=33.31 gamma=33.31
Sites, in units of the cell vectors:
La 0.118 0.118 0.118
La 0.367 0.367 0.367
La 0.633 0.633 0.633
La 0.882 0.882 0.882
Zn 0.252 0.252 0.252
Zn 0.748 0.748 0.748
Sb 0.500 0.500 0.500

## Properties
E_form (uncorrected) = -0.384 eV per atom
DFT total energy = -4.152 eV per atom
SG = R-3m, No. 166

This record from the Alexandria database describes a geometry-optimized LaZnSb2 structure. The functional is PBE.

Unit cell a=5.931 b=5.922 c=4.619 alpha=67.17 beta=66.97 gamma=45.86
Sites, in units of the cell vectors:
La 0.000 0.000 0.000
Zn 0.500 0.500 0.500
Sb 0.250 0.250 0.250
Sb 0.750 0.750 0.750

## Properties
E_form (uncorrected) = -0.564 eV per atom
DFT total energy = -4.175 eV per atom
SG = Fmmm, No. 69

This record from the Alexandria database describes a geometry-optimized LaZn3Sb3 structure. The functional is PBE.

Unit cell a=10.666 b=10.666 c=4.397 alpha=90.00 beta=90.00 gamma=120.00
Sites, in units of the cell vectors:
La 0.333 0.667 0.250
La 0.667 0.333 0.750
Zn 0.057 0.408 0.750
Zn 0.351 0.943 0.750
Zn 0.408 0.351 0.250
Zn 0.592 0.649 0.750
Zn 0.649 0.057 0.250
Zn 0.943 0.592 0.250
Sb 0.104 0.692 0.750
Sb 0.308 0.412 0.750
Sb 0.412 0.104 0.250
Sb 0.588 0.896 0.750
Sb 0.692 0.588 0.250
Sb 0.896 0.308 0.250

## Properties
E_form (uncorrected) = -0.356 eV per atom
DFT total energy = -3.372 eV per atom
SG = P6_3/m, No. 176

This record from the Alexandria database describes a geometry-optimized LaZnSb2 structure. The functional is PBE.

Unit cell a=6.650 b=6.650 c=6.650 alpha=106.64 beta=106.64 gamma=115.29
Sites, in units of the cell vectors:
La 0.000 0.000 0.000
La 0.750 0.250 0.500
Zn 0.250 0.750 0.500
Zn 0.500 0.500 0.000
Sb 0.179 0.625 0.054
Sb 0.375 0.429 0.554
Sb 0.571 0.125 0.946
Sb 0.875 0.821 0.446

## Properties
E_form (uncorrected) = -0.526 eV per atom
DFT total energy = -4.138 eV per atom
SG = I-42d, No. 122

This record from the Alexandria database describes a geometry-optimized LaZn2Sb structure. The functional is PBE.

Unit cell a=4.212 b=5.041 c=5.013 alpha=90.00 beta=90.18 gamma=90.00
Sites, in units of the cell vectors:
La 0.000 0.000 0.000
Zn 0.443 0.500 0.242
Zn 0.557 0.500 0.758
Sb 0.500 0.000 0.500

## Properties
E_form (uncorrected) = -0.359 eV per atom
DFT total energy = -3.259 eV per atom
SG = P2/m, No. 10

This record from the Alexandria database describes a geometry-optimized LaZn2Sb2 structure. The functional is PBE.

Unit cell a=13.185 b=13.185 c=4.359 alpha=90.00 beta=90.00 gamma=161.11
Sites, in units of the cell vectors:
La 0.151 0.849 0.750
La 0.849 0.151 0.250
Zn 0.029 0.971 0.250
Zn 0.464 0.536 0.250
Zn 0.536 0.464 0.750
Zn 0.971 0.029 0.750
Sb 0.250 0.750 0.250
Sb 0.390 0.610 0.750
Sb 0.610 0.390 0.250
Sb 0.750 0.250 0.750

## Properties
E_form (uncorrected) = -0.484 eV per atom
DFT total energy = -3.628 eV per atom
SG = Cmcm, No. 63

This record from the Alexandria database describes a geometry-optimized LaZn2Sb structure. The functional is PBE.

Unit cell a=4.516 b=4.516 c=4.767 alpha=90.00 beta=90.00 gamma=90.00
Sites, in units of the cell vectors:
La 0.000 0.000 0.000
Zn 0.000 0.500 0.500
Zn 0.500 0.000 0.500
Sb 0.500 0.500 0.000

## Properties
E_form (uncorrected) = -0.449 eV per atom
DFT total energy = -3.349 eV per atom
SG = P4/mmm, No. 123

This record from the Alexandria database describes a geometry-optimized La3ZnSb structure. The functional is PBE.

Unit cell a=5.614 b=5.614 c=5.614 alpha=90.00 beta=90.00 gamma=90.00
Sites, in units of the cell vectors:
La 0.000 0.000 0.500
La 0.000 0.500 0.000
La 0.500 0.000 0.000
Zn 0.000 0.000 0.000
Sb 0.500 0.500 0.500

## Properties
E_form (uncorrected) = -0.206 eV per atom
DFT total energy = -4.241 eV per atom
SG = Pm-3m, No. 221
Polymorph energy (0 for the lowest one) = 0.00 eV/f.u.

This record from the Alexandria database describes a geometry-optimized La2ZnSb4 structure. The functional is PBE.

Unit cell a=4.462 b=4.462 c=10.170 alpha=90.00 beta=90.00 gamma=90.00
Sites, in units of the cell vectors:
La 0.000 0.500 0.248
La 0.500 0.000 0.752
Zn 0.500 0.500 0.000
Sb 0.000 0.000 0.500
Sb 0.000 0.500 0.849
Sb 0.500 0.000 0.151
Sb 0.500 0.500 0.500

## Properties
E_form (uncorrected) = -0.801 eV per atom
DFT total energy = -4.747 eV per atom
SG = P-4m2, No. 115

This record from the Alexandria database describes a geometry-optimized LaZnSb2 structure. The functional is PBE.

Unit cell a=3.401 b=3.401 c=9.748 alpha=90.00 beta=90.00 gamma=90.00
Sites, in units of the cell vectors:
La 0.000 0.000 0.000
Zn 0.500 0.500 0.782
Sb 0.000 0.000 0.609
Sb 0.500 0.500 0.251

## Properties
E_form (uncorrected) = -0.200 eV per atom
DFT total energy = -3.812 eV per atom
SG = P4mm, No. 99

This record from the Alexandria database describes a geometry-optimized LaZn2Sb structure. The functional is PBE.

Unit cell a=10.759 b=10.759 c=10.759 alpha=155.34 beta=155.34 gamma=35.15
Sites, in units of the cell vectors:
La 0.000 0.000 0.000
La 0.750 0.250 0.500
Zn 0.250 0.625 0.125
Zn 0.375 0.500 0.625
Zn 0.500 0.125 0.875
Zn 0.875 0.750 0.375
Sb 0.250 0.750 0.500
Sb 0.500 0.500 0.000

## Properties
E_form (uncorrected) = -0.297 eV per atom
DFT total energy = -3.196 eV per atom
SG = I-42d, No. 122

This record from the Alexandria database describes a geometry-optimized LaZnSb2 structure. The functional is PBE.

Unit cell a=5.939 b=5.939 c=5.939 alpha=48.98 beta=48.98 gamma=48.98
Sites, in units of the cell vectors:
La 0.000 0.000 0.000
Zn 0.500 0.500 0.500
Sb 0.220 0.220 0.220
Sb 0.780 0.780 0.780

## Properties
E_form (uncorrected) = -0.430 eV per atom
DFT total energy = -4.042 eV per atom
SG = R-3m, No. 166

This record from the Alexandria database describes a geometry-optimized LaZn2Sb2 structure. The functional is PBE.

Unit cell a=5.984 b=5.984 c=5.984 alpha=129.37 beta=129.37 gamma=74.41
Sites, in units of the cell vectors:
La 0.000 0.000 0.000
Zn 0.373 0.373 0.000
Zn 0.627 0.627 0.000
Sb 0.250 0.750 0.500
Sb 0.750 0.250 0.500

## Properties
E_form (uncorrected) = -0.415 eV per atom
DFT total energy = -3.559 eV per atom
SG = I4/mmm, No. 139

This record from the Alexandria database describes a geometry-optimized LaZnSb2 structure. The functional is PBE.

Unit cell a=4.776 b=4.776 c=4.575 alpha=90.00 beta=90.00 gamma=90.11
Sites, in units of the cell vectors:
La 0.000 0.000 0.000
Zn 0.500 0.500 0.000
Sb 0.000 0.500 0.500
Sb 0.500 0.000 0.500

## Properties
E_form (uncorrected) = -0.572 eV per atom
DFT total energy = -4.184 eV per atom
SG = Cmmm, No. 65